# PBE-GGA Be2AsS, relaxed
# Crystal system: cubic
# Polymorph energy (0 for the lowest one) (eV per atom): 0.973
# Raw formation energy (eV per formula unit): 2.364
data_Be2AsS
_space_group_name_H-M_alt 'P 1'
_space_group_IT_number 1
_cell_length_a 4.219
_cell_length_b 4.219
_cell_length_c 4.219
_cell_angle_alpha 60.00
_cell_angle_beta 60.00
_cell_angle_gamma 60.00
loop_
_space_group_symop_operation_xyz
'x,y,z'
loop_
_atom_site_label
_atom_site_type_symbol
_atom_site_fract_x
_atom_site_fract_y
_atom_site_fract_z
Be1 Be 0.250 0.250 0.250
Be2 Be 0.750 0.750 0.750
As1 As 0.000 0.000 0.000
S1 S 0.500 0.500 0.500